No. 1
The following is a PBE-GGA calculation of a relaxed structure of AlSbO2F, from Alexandria.

abc: 3.8518 3.8518 3.8544
angles: 90.00 90.00 90.00
Fractional coordinates of all 5 atoms:
1 Sb 0.5000 0.5000 0.5000
2 Al 0.0000 0.0000 0.0000
3 O 0.0000 0.5000 0.0000
4 O 0.5000 0.0000 0.0000
5 F 0.0000 0.0000 0.5000

Output
- ΔE_f (raw) (meV per atom) = -1819

***

No. 2
The following is a PBE-GGA calculation of a relaxed structure of AlSbO2F, from Alexandria.

abc: 4.3898 4.0660 4.3898
angles: 90.00 90.00 90.00
Fractional coordinates of all 5 atoms:
1 Sb 0.0000 0.5000 0.0000
2 Al 0.5000 0.5000 0.5000
3 O 0.0000 0.0000 0.5000
4 O 0.5000 0.0000 0.0000
5 F 0.0000 0.0000 0.0000

Output
- ΔE_f (raw) (meV per atom) = 303